# Ba4S3

An optimized crystal structure of Ba4S3 (PBE-GGA, the Alexandria database).

```
data_Ba4S3
_chemical_formula_sum 'Ba12 S9'
_cell_length_a 4.5580
_cell_length_b 4.5580
_cell_length_c 45.2861
_cell_angle_alpha 90.00
_cell_angle_beta 90.00
_cell_angle_gamma 120.00
_symmetry_space_group_name_H-M 'R -3 m'
_symmetry_Int_Tables_number 166
_symmetry_space_group_name_Hall '-R 3 2"'
loop_
_atom_site_label
_atom_site_fract_x
_atom_site_fract_y
_atom_site_fract_z
_atom_site_occupancy
Ba1 0.0000 0.0000 0.1214 1
Ba2 0.0000 0.0000 0.3736 1
S1 0.0000 0.0000 0.0000 1
S2 0.0000 0.0000 0.2501 1
```

## Properties
Formation energy without anion corrections ... -168.1 kJ/mol of atoms
Total moment ... 0.0580 μB per atom

=====

# Ba2S3

An optimized crystal structure of Ba2S3 (PBE-GGA, the Alexandria database).

```
data_Ba2S3
_chemical_formula_sum 'Ba8 S12'
_cell_length_a 6.097
_cell_length_b 6.097
_cell_length_c 16.142
_cell_angle_alpha 90.00
_cell_angle_beta 90.00
_cell_angle_gamma 90.00
_symmetry_space_group_name_H-M 'I 41 m d'
_symmetry_Int_Tables_number 109
_symmetry_space_group_name_Hall 'I 4bw -2'
loop_
_atom_site_label
_atom_site_fract_x
_atom_site_fract_y
_atom_site_fract_z
_atom_site_occupancy
Ba1 0.000 0.000 0.000 1
Ba2 0.000 0.000 0.405 1
S1 0.000 0.000 0.199 1
S2 0.000 0.327 0.843 1
```

## Properties
Formation energy without anion corrections ... -156.3 kJ/mol of atoms
Total moment ... 0.0000 μB per atom

=====

# BaS4

An optimized crystal structure of BaS4 (PBE-GGA, the Alexandria database).

```
data_BaS4
_chemical_formula_sum 'Ba2 S8'
_cell_length_a 6.652
_cell_length_b 6.652
_cell_length_c 5.721
_cell_angle_alpha 90.00
_cell_angle_beta 90.00
_cell_angle_gamma 90.00
_symmetry_space_group_name_H-M 'I 4/m'
_symmetry_Int_Tables_number 87
_symmetry_space_group_name_Hall '-I 4'
loop_
_atom_site_label
_atom_site_fract_x
_atom_site_fract_y
_atom_site_fract_z
_atom_site_occupancy
Ba1 0.000 0.000 0.000 1
S1 0.034 0.759 0.500 1
```

## Properties
ΔE to the lowest computed polymorph ... 0 meV/atom
Formation energy without anion corrections ... -36.7 kJ/mol of atoms
Total moment ... 0.0000 μB per atom

=====

Which value of formation energy without anion corrections does entry 2 give?
-156.3 kJ/mol of atoms